A relaxed TmFeTeO6 crystal, computed with PBE+U.

Unit cell a=5.370 b=5.370 c=8.725 alpha=90.00 beta=90.00 gamma=120.00
Fractional positions:
Tm 0.333 0.667 0.250
Tm 0.667 0.333 0.750
Fe 0.000 0.000 0.000
Fe 0.000 0.000 0.500
Te 0.333 0.667 0.750
Te 0.667 0.333 0.250
O 0.038 0.353 0.626
O 0.038 0.685 0.874
O 0.315 0.353 0.874
O 0.315 0.962 0.626
O 0.353 0.038 0.126
O 0.353 0.315 0.374
O 0.647 0.685 0.626
O 0.647 0.962 0.874
O 0.685 0.038 0.374
O 0.685 0.647 0.126
O 0.962 0.315 0.126
O 0.962 0.647 0.374

Electronic total energy   -117.451 eV per cell